No. 1
Here is LaBeCr2 after structural relaxation from Alexandria via LeMat-Bulk. Energies are from PBEsol.

Results
For the formation energy, the calculation gives 405 meV per atom. The calculation puts the total energy at -7.0524 eV/atom. Its crystal system is tetragonal. The calculation puts the density of states at the Fermi level at 3.8 states/eV/f.u.

abc: 3.110 3.110 6.461
angles: 90.00 90.00 90.00
Fractional positions:
La  0.000  0.000  0.000
Be  0.000  0.000  0.500
Cr  0.500  0.500  0.354
Cr  0.500  0.500  0.646

***

No. 2
Here is LaBeCr after structural relaxation from Alexandria via LeMat-Bulk. Energies are from PBEsol.

Results
For the formation energy, the calculation gives 948 meV per atom. The calculation puts the total energy at -5.5811 eV/atom. Its crystal system is cubic. The calculation puts the density of states at the Fermi level at 3.9 states/eV/f.u.

abc: 4.258 4.258 4.258
angles: 60.00 60.00 60.00
Fractional positions:
La  0.000  0.000  0.000
Be  0.500  0.500  0.500
Cr  0.250  0.250  0.250

***

No. 3
Here is LaBe2CrOs after structural relaxation from Alexandria via LeMat-Bulk. Energies are from PBEsol.

Results
For the formation energy, the calculation gives 546 meV per atom. The calculation puts the total energy at -6.6147 eV/atom. Its crystal system is tetragonal. The calculation puts the density of states at the Fermi level at 4.4 states/eV/f.u.

abc: 4.368 4.368 4.405
angles: 90.00 90.00 90.00
Fractional positions:
La  0.000  0.000  0.000
Be  0.000  0.500  0.500
Be  0.500  0.000  0.500
Cr  0.500  0.500  0.500
Os  0.500  0.500  0.000

***

No. 4
Here is LiBeCr2 after structural relaxation from Alexandria via LeMat-Bulk. Energies are from PBEsol.

Results
For the formation energy, the calculation gives 468 meV per atom. The calculation puts the total energy at -6.1449 eV/atom. Its crystal system is tetragonal. The calculation puts the density of states at the Fermi level at 2.8 states/eV/f.u.

abc: 3.044 3.044 4.873
angles: 90.00 90.00 90.00
Fractional positions:
Li  0.000  0.000  0.000
Be  0.000  0.000  0.500
Cr  0.500  0.500  0.307
Cr  0.500  0.500  0.693

***

No. 5
Here is LiBeCr2 after structural relaxation from Alexandria via LeMat-Bulk. Energies are from PBEsol.

Results
For the formation energy, the calculation gives 305 meV per atom. The calculation puts the total energy at -6.3082 eV/atom. Its crystal system is tetragonal. The calculation puts the density of states at the Fermi level at 2.8 states/eV/f.u.

abc: 2.291 2.291 8.184
angles: 90.00 90.00 90.00
Fractional positions:
Li  0.000  0.000  0.000
Be  0.000  0.000  0.500
Cr  0.500  0.500  0.278
Cr  0.500  0.500  0.722

***

No. 6
Here is LiBeCr2 after structural relaxation from Alexandria via LeMat-Bulk. Energies are from PBEsol.

Results
For the formation energy, the calculation gives 764 meV per atom. The calculation puts the total energy at -5.8485 eV/atom. Its crystal system is tetragonal. The calculation puts the density of states at the Fermi level at 3.8 states/eV/f.u.

abc: 9.018 9.018 9.018
angles: 159.48 159.48 29.18
Fractional positions:
Li  0.000  0.000  0.000
Li  0.750  0.250  0.500
Be  0.250  0.750  0.500
Be  0.500  0.500  0.000
Cr  0.136  0.625  0.011
Cr  0.375  0.386  0.511
Cr  0.614  0.125  0.989
Cr  0.875  0.864  0.489

***

No. 7
Here is LiBeCr2 after structural relaxation from Alexandria via LeMat-Bulk. Energies are from PBEsol.

Results
For the formation energy, the calculation gives 416 meV per atom. The calculation puts the total energy at -6.1970 eV/atom. Its crystal system is trigonal. The calculation puts the density of states at the Fermi level at 3.7 states/eV/f.u.

abc: 8.835 8.835 8.835
angles: 15.70 15.70 15.70
Fractional positions:
Li  0.000  0.000  0.000
Be  0.500  0.500  0.500
Cr  0.243  0.243  0.243
Cr  0.757  0.757  0.757

***

No. 8
Here is LiBeCr2 after structural relaxation from Alexandria via LeMat-Bulk. Energies are from PBEsol.

Results
For the formation energy, the calculation gives 316 meV per atom. The calculation puts the total energy at -6.2970 eV/atom. Its crystal system is monoclinic. The calculation puts the density of states at the Fermi level at 2.2 states/eV/f.u.

abc: 2.273 3.924 4.827
angles: 90.00 96.82 90.00
Fractional positions:
Li  0.000  0.000  0.000
Be  0.797  0.500  0.244
Cr  0.256  0.500  0.716
Cr  0.460  0.000  0.498

***

No. 9
Here is LiBeCr2 after structural relaxation from Alexandria via LeMat-Bulk. Energies are from PBEsol.

Results
For the formation energy, the calculation gives 237 meV per atom. The calculation puts the total energy at -6.3759 eV/atom. Its crystal system is orthorhombic. The calculation puts the density of states at the Fermi level at 3.1 states/eV/f.u.

abc: 2.352 2.352 8.291
angles: 90.00 90.00 106.32
Fractional positions:
Li  0.000  0.000  0.000
Be  0.500  0.500  0.745
Cr  0.000  0.000  0.522
Cr  0.500  0.500  0.276

***

No. 10
Here is MgBeCr2 after structural relaxation from Alexandria via LeMat-Bulk. Energies are from PBEsol.

Results
For the formation energy, the calculation gives 525 meV per atom. The calculation puts the total energy at -6.0248 eV/atom. Its crystal system is orthorhombic. The calculation puts the density of states at the Fermi level at 2.6 states/eV/f.u. Its relative energy among the computed polymorphs is 264 meV/atom.

abc: 4.769 4.769 2.424
angles: 90.00 90.00 119.55
Fractional positions:
Mg  0.000  0.000  0.000
Be  0.500  0.500  0.000
Cr  0.000  0.500  0.500
Cr  0.500  0.000  0.500

***

No. 11
Here is MgBe2Cr after structural relaxation from Alexandria via LeMat-Bulk. Energies are from PBEsol.

Results
For the formation energy, the calculation gives 450 meV per atom. The calculation puts the total energy at -4.5402 eV/atom. Its crystal system is monoclinic. The calculation puts the density of states at the Fermi level at 2.3 states/eV/f.u.

abc: 4.169 4.169 5.029
angles: 95.46 95.46 34.34
Fractional positions:
Mg  0.000  0.000  0.000
Be  0.247  0.247  0.677
Be  0.753  0.753  0.323
Cr  0.500  0.500  0.500

***

No. 12
Here is MgBe4Cr after structural relaxation from Alexandria via LeMat-Bulk. Energies are from PBEsol.

Results
For the formation energy, the calculation gives 102 meV per atom. The calculation puts the total energy at -4.5582 eV/atom. Its crystal system is cubic. The calculation puts the density of states at the Fermi level at 2.9 states/eV/f.u.

abc: 4.469 4.469 4.469
angles: 60.00 60.00 60.00
Fractional positions:
Mg  0.000  0.000  0.000
Be  0.377  0.377  0.377
Be  0.377  0.377  0.870
Be  0.377  0.870  0.377
Be  0.870  0.377  0.377
Cr  0.750  0.750  0.750